YCr2P: optimized geometry, GGA-PBEsol.

## Properties
The space-group type is Imm2. The value obtained for the volume is 16.561 Å³/atom. The calculation puts the energy at -32.82 eV per cell. As for the formation energy from the elements: 1.6 kcal/mol of atoms.

Structure (POSCAR):
```
YCr2P
1.0
-1.9337 1.9474 4.3979
1.9337 -1.9474 4.3979
1.9337 1.9474 -4.3979
Y Cr P
1 2 1
Cartesian
0.0000 0.0000 0.0000 Y
1.9337 0.0000 2.2682 Cr
0.0000 0.0000 5.2670 Cr
0.0000 1.9474 2.2487 P
```


Sm2Co18Si4C3: optimized geometry, GGA-PBEsol.

## Properties
The formation energy from raw total energies comes out at -894 kJ/mol of formula units. The space-group type is C2/m. The value obtained for the volume is 11.111 Å³/atom. The calculation puts the energy at -210.63 eV per cell.

Structure (POSCAR):
```
Sm2Co18Si4C3
1.0
5.7960 -4.8770 0.0000
5.7960 4.8770 0.0000
-3.4057 0.0000 5.3066
Sm Co Si C
2 18 4 3
Cartesian
1.5910 0.0000 1.9535 Sm
6.5952 0.0000 3.3531 Sm
4.7903 3.6920 0.7547 Co
2.9033 2.9173 2.2879 Co
3.3960 3.6920 4.5519 Co
1.5713 2.0249 4.3745 Co
-0.1295 0.0000 4.6832 Co
5.2830 2.9173 3.0187 Co
4.3794 1.2412 1.3709 Co
6.6150 2.0249 0.9321 Co
3.8069 1.2412 3.9357 Co
4.3794 -1.2412 1.3709 Co
1.5713 -2.0249 4.3745 Co
3.8069 -1.2412 3.9357 Co
2.9033 -2.9173 2.2879 Co
8.3158 0.0000 0.6234 Co
6.6150 -2.0249 0.9321 Co
4.7903 -3.6920 0.7547 Co
5.2830 -2.9173 3.0187 Co
3.3960 -3.6920 4.5519 Co
-1.7028 0.0000 2.6533 Si
2.8980 2.4385 0.0000 Si
2.8980 -2.4385 0.0000 Si
5.7960 0.0000 0.0000 Si
1.1951 2.4385 2.6533 C
1.1951 -2.4385 2.6533 C
4.0931 0.0000 2.6533 C
```


LaY2Sc: optimized geometry, GGA-PBEsol.

## Properties
The space-group type is R3m. The value obtained for the volume is 29.412 Å³/atom. The calculation puts the energy at -25.40 eV per cell. As for the formation energy from the elements: 1.1 kcal/mol of atoms.

Structure (POSCAR):
```
LaY2Sc
1.0
1.7432 1.0064 11.1763
-1.7432 1.0064 11.1763
0.0000 -2.0129 11.1763
La Y Sc
1 2 1
Cartesian
0.0000 0.0000 0.0000 La
0.0000 0.0000 8.2286 Y
0.0000 0.0000 16.5391 Y
0.0000 0.0000 25.0658 Sc
```


InReHg2: optimized geometry, GGA-PBEsol.

## Properties
The space-group type is Pmmm. The value obtained for the volume is 19.192 Å³/atom. The calculation puts the energy at -15.01 eV per cell. As for the formation energy from the elements: 14.1 kcal/mol of atoms.

Structure (POSCAR):
```
InReHg2
1.0
2.8411 0.0000 0.0000
0.0000 5.1709 0.0000
0.0000 0.0000 5.2253
In Re Hg
1 1 2
Cartesian
0.0000 0.0000 0.0000 In
1.4206 2.5854 0.0000 Re
0.0000 2.5854 2.6127 Hg
1.4206 0.0000 2.6127 Hg
```


MgCu2Br: optimized geometry, GGA-PBEsol.

## Properties
The formation energy from raw total energies comes out at 20 kJ/mol of formula units. The space-group type is C2/m. The value obtained for the volume is 20.371 Å³/atom. The calculation puts the energy at -12.04 eV per cell.

Structure (POSCAR):
```
MgCu2Br
1.0
4.3923 -1.8132 0.0000
4.3923 1.8132 0.0000
-0.6003 0.0000 5.1157
Mg Cu Br
1 2 1
Cartesian
0.0000 0.0000 0.0000 Mg
2.5653 0.0000 0.6476 Cu
5.6190 0.0000 4.4682 Cu
4.0922 0.0000 2.5579 Br
```


Zr2Ir3: optimized geometry, GGA-PBEsol.

## Properties
The space-group type is Fdd2. The value obtained for the volume is 17.209 Å³/atom. The calculation puts the energy at -102.45 eV per cell. As for the formation energy from the elements: -16.5 kcal/mol of atoms.

Structure (POSCAR):
```
Zr2Ir3
1.0
0.0000 6.5398 2.9674
4.4340 0.0000 2.9674
4.4340 6.5398 0.0000
Zr Ir
4 6
Cartesian
5.0954 3.8908 2.9674 Zr
5.9897 7.1607 4.4510 Zr
3.7727 9.1888 2.9674 Zr
2.8784 5.9189 4.4510 Zr
3.9704 1.3851 3.1331 Ir
1.7534 1.8848 1.6494 Ir
2.6806 4.6550 1.6494 Ir
4.4340 6.5398 2.3389 Ir
6.6510 9.8097 3.8226 Ir
4.8976 11.6945 3.1331 Ir
```


Ho2AlFe3: optimized geometry, GGA-PBEsol.

## Properties
The space-group type is R-3m. The value obtained for the volume is 15.589 Å³/atom. The calculation puts the energy at -42.04 eV per cell. As for the formation energy from the elements: -4.4 kcal/mol of atoms.

Structure (POSCAR):
```
Ho2AlFe3
1.0
2.5527 1.4738 4.1435
-2.5527 1.4738 4.1435
0.0000 -2.9476 4.1435
Ho Al Fe
2 1 3
Cartesian
0.0000 0.0000 1.5199 Ho
0.0000 0.0000 10.9106 Ho
0.0000 0.0000 6.2152 Al
-1.2763 -0.7369 4.1435 Fe
-1.2763 0.7369 8.2870 Fe
0.0000 1.4738 4.1435 Fe
```


CsC3: optimized geometry, GGA-PBEsol.

## Properties
The space-group type is C2/m. The value obtained for the volume is 13.634 Å³/atom. The calculation puts the energy at -26.61 eV per cell. As for the formation energy from the elements: 18.8 kcal/mol of atoms.

Structure (POSCAR):
```
CsC3
1.0
3.5378 -1.4477 0.0000
3.5378 1.4477 0.0000
-0.0180 0.0000 5.3242
Cs C
1 3
Cartesian
0.0000 0.0000 0.0000 Cs
2.1688 0.0000 2.6616 C
3.5288 0.0000 2.6621 C
4.8888 0.0000 2.6626 C
```